[1]
Here is crystalline Tl3CoCl5 at its relaxed geometry from the Alexandria database. Energies are from GGA-PBEsol.

Summary:
- Energy: -32.78 eV/f.u.
- Total magnetic moment: 6.00 μB/cell
- DOS(E_F): 0.01 states/eV/cell
- Energy relative to the elements, uncorrected: -0.7900 eV/atom

Lattice parameters (Å, degrees): 8.1920 9.1358 8.1920 63.36 90.00 116.64
Closest atoms and distances in Å follow each position.
Positions (direct):
Co 0.7500 0.5000 0.7500  4 Cl 2.21
Co 0.2500 0.5000 0.2500  4 Cl 2.21
Cl 0.0000 0.0000 0.0000  4 Tl 3.09
Cl 0.3065 0.3098 0.1935  1 Co 2.21
Cl 0.4968 0.6902 0.3065  1 Co 2.21
Cl 0.1935 0.6902 0.0032  1 Co 2.21
Cl 0.6935 0.6902 0.8065  1 Co 2.21
Cl 0.8065 0.3098 0.9968  1 Co 2.21
Cl 0.5000 0.0000 0.5000  4 Tl 3.09
Cl 0.9968 0.6902 0.5032  1 Co 2.21
Cl 0.0032 0.3098 0.4968  1 Co 2.21
Cl 0.5032 0.3098 0.6935  1 Co 2.21
Tl 0.8423 0.0000 0.3423  8 Cl 3.09-3.35
Tl 0.7500 0.5000 0.2500  10 Cl 3.39-3.53
Tl 0.3423 0.0000 0.1577  8 Cl 3.09-3.35
Tl 0.1577 0.0000 0.6577  8 Cl 3.09-3.35
Tl 0.2500 0.5000 0.7500  10 Cl 3.39-3.53
Tl 0.6577 0.0000 0.8423  8 Cl 3.09-3.35

---

[2]
Here is crystalline Tl2CoCl at its relaxed geometry from the Alexandria database. Energies are from GGA-PBEsol.

Summary:
- Energy: -14.28 eV/f.u.
- Total magnetic moment: 1.43 μB/cell
- DOS(E_F): 2.99 states/eV/cell
- Energy relative to the elements, uncorrected: 0.1808 eV/atom
- ΔE to the lowest computed polymorph: 86.3 meV per atom

Lattice parameters (Å, degrees): 3.0752 5.1581 5.1581 90.00 90.00 90.00
Closest atoms and distances in Å follow each position.
Positions (direct):
Tl 0.0000 0.5000 0.0000  4 Cl 3.00, 4 Co 3.00, 2 Tl 3.08
Tl 0.0000 0.0000 0.5000  4 Cl 3.00, 4 Co 3.00, 2 Tl 3.08
Cl 0.5000 0.5000 0.5000  8 Tl 3.00, 2 Cl 3.08
Co 0.5000 0.0000 0.0000  8 Tl 3.00, 2 Co 3.08

---

[3]
Here is crystalline Tl2CoCl2 at its relaxed geometry from the Alexandria database. Energies are from GGA-PBEsol.

Summary:
- Energy: -17.64 eV/f.u.
- Total magnetic moment: 1.36 μB/cell
- DOS(E_F): 9.14 states/eV/cell
- Energy relative to the elements, uncorrected: -0.1263 eV/atom

Lattice parameters (Å, degrees): 5.6800 5.6800 5.6800 100.91 113.92 113.92
Closest atoms and distances in Å follow each position.
Positions (direct):
Cl 0.0000 0.7113 0.7113  1 Co 2.09
Cl 0.0000 0.2887 0.2887  1 Co 2.09
Co 0.0000 0.0000 0.0000  2 Cl 2.09
Tl 0.5000 0.7500 0.2500  4 Cl 3.11
Tl 0.5000 0.2500 0.7500  4 Cl 3.11

---

[4]
Here is crystalline CoW4Cl at its relaxed geometry from the Alexandria database. Energies are from GGA-PBEsol.

Summary:
- Energy: -57.16 eV/f.u.
- Total magnetic moment: 0.83 μB/cell
- DOS(E_F): 6.58 states/eV/cell
- Energy relative to the elements, uncorrected: 1.3024 eV/atom

Lattice parameters (Å, degrees): 5.2111 5.2111 5.2111 60.00 60.00 60.00
Closest atoms and distances in Å follow each position.
Positions (direct):
W 0.3752 0.3752 0.8744  6 W 2.60-2.61
W 0.8744 0.3752 0.3752  6 W 2.60-2.61
W 0.3752 0.3752 0.3752  6 W 2.60-2.61
W 0.3752 0.8744 0.3752  6 W 2.60-2.61
Cl 0.7500 0.7500 0.7500  12 W 3.05, 4 Co 3.19
Co 0.0000 0.0000 0.0000  12 W 3.06, 4 Cl 3.19

---

[5]
Here is crystalline YCoCl2 at its relaxed geometry from the Alexandria database. Energies are from GGA-PBEsol.

Summary:
- Energy: -20.96 eV/f.u.
- Total magnetic moment: 0.40 μB/cell
- DOS(E_F): 3.38 states/eV/cell
- Energy relative to the elements, uncorrected: -0.5954 eV/atom
- ΔE to the lowest computed polymorph: 0.0 meV per atom

Lattice parameters (Å, degrees): 4.3922 3.8440 4.4113 90.00 93.74 90.00
Closest atoms and distances in Å follow each position.
Positions (direct):
Co 0.5000 0.5000 0.0000  4 Cl 2.37
Y 0.0000 0.5000 0.5000  4 Cl 2.65
Cl 0.2839 0.0000 0.2163  2 Co 2.37, 2 Y 2.65
Cl 0.7161 0.0000 0.7837  2 Co 2.37, 2 Y 2.65

---

[6]
Here is crystalline YCoCl4 at its relaxed geometry from the Alexandria database. Energies are from GGA-PBEsol.

Summary:
- Energy: -21.22 eV/f.u.
- Total magnetic moment: 3.75 μB/cell
- DOS(E_F): 5.48 states/eV/cell
- Energy relative to the elements, uncorrected: 0.2289 eV/atom

Lattice parameters (Å, degrees): 5.6414 5.6414 5.6414 60.00 60.00 60.00
Closest atoms and distances in Å follow each position.
Positions (direct):
Cl 0.8736 0.3755 0.3755  6 Cl 2.81-2.83
Cl 0.3755 0.8736 0.3755  6 Cl 2.81-2.83
Cl 0.3755 0.3755 0.8736  6 Cl 2.81-2.83
Cl 0.3755 0.3755 0.3755  6 Cl 2.81-2.83
Co 0.7500 0.7500 0.7500  12 Cl 3.31, 4 Y 3.45
Y 0.0000 0.0000 0.0000  12 Cl 3.31, 4 Co 3.45

---

[7]
Here is crystalline YCoCl2 at its relaxed geometry from the Alexandria database. Energies are from GGA-PBEsol.

Summary:
- Energy: -20.57 eV/f.u.
- Total magnetic moment: 1.93 μB/cell
- DOS(E_F): 2.13 states/eV/cell
- Energy relative to the elements, uncorrected: -0.4998 eV/atom
- ΔE to the lowest computed polymorph: 95.6 meV per atom

Lattice parameters (Å, degrees): 3.6249 3.6249 7.8851 76.71 76.71 60.00
Closest atoms and distances in Å follow each position.
Positions (direct):
Co 0.5000 0.5000 0.5000  6 Cl 2.41
Y 0.0000 0.0000 0.0000  2 Cl 2.61
Cl 0.1146 0.1146 0.6561  3 Co 2.41, 1 Y 2.61
Cl 0.8854 0.8854 0.3439  3 Co 2.41, 1 Y 2.61

---

[8]
Here is crystalline YCoCl2 at its relaxed geometry from the Alexandria database. Energies are from GGA-PBEsol.

Summary:
- Energy: -20.91 eV/f.u.
- Total magnetic moment: 1.18 μB/cell
- DOS(E_F): 3.72 states/eV/cell
- Energy relative to the elements, uncorrected: -0.5841 eV/atom
- ΔE to the lowest computed polymorph: 11.4 meV per atom

Lattice parameters (Å, degrees): 4.2650 3.5989 4.2781 90.00 90.00 90.00
Closest atoms and distances in Å follow each position.
Positions (direct):
Cl 0.5000 0.0000 0.5000  4 Y 2.79, 4 Co 2.80, 4 Cl 3.02
Cl 0.0000 0.0000 0.0000  4 Co 2.79, 4 Y 2.80, 4 Cl 3.02
Co 0.5000 0.5000 0.0000  8 Cl 2.79-2.80, 4 Y 3.02
Y 0.0000 0.5000 0.5000  8 Cl 2.79-2.80, 4 Co 3.02

---

[9]
Here is crystalline Y3CoCl at its relaxed geometry from the Alexandria database. Energies are from GGA-PBEsol.

Summary:
- Energy: -31.30 eV/f.u.
- Total magnetic moment: 0.00 μB/cell
- DOS(E_F): 5.01 states/eV/cell
- Energy relative to the elements, uncorrected: -0.2169 eV/atom

Lattice parameters (Å, degrees): 5.1578 5.1578 5.1578 90.00 90.00 90.00
Closest atoms and distances in Å follow each position.
Positions (direct):
Co 0.0000 0.0000 0.0000  6 Y 2.58
Y 0.5000 0.0000 0.0000  2 Co 2.58
Y 0.0000 0.5000 0.0000  2 Co 2.58
Y 0.0000 0.0000 0.5000  2 Co 2.58
Cl 0.5000 0.5000 0.5000  12 Y 3.65

---

[10]
Here is crystalline ZrCoCl4 at its relaxed geometry from the Alexandria database. Energies are from GGA-PBEsol.

Summary:
- Energy: -20.57 eV/f.u.
- Total magnetic moment: 2.48 μB/cell
- DOS(E_F): 9.11 states/eV/cell
- Energy relative to the elements, uncorrected: 0.7146 eV/atom

Lattice parameters (Å, degrees): 5.4710 5.4710 5.4710 60.00 60.00 60.00
Closest atoms and distances in Å follow each position.
Positions (direct):
Cl 0.3751 0.3751 0.3751  6 Cl 2.73-2.74
Cl 0.3751 0.8747 0.3751  6 Cl 2.73-2.74
Cl 0.3751 0.3751 0.8747  6 Cl 2.73-2.74
Cl 0.8747 0.3751 0.3751  6 Cl 2.73-2.74
Co 0.7500 0.7500 0.7500  12 Cl 3.21, 4 Zr 3.35
Zr 0.0000 0.0000 0.0000  12 Cl 3.21, 4 Co 3.35

---

[11]
Here is crystalline ZrCoCl at its relaxed geometry from the Alexandria database. Energies are from GGA-PBEsol.

Summary:
- Energy: -19.53 eV/f.u.
- Total magnetic moment: 0.01 μB/cell
- DOS(E_F): 2.59 states/eV/cell
- Energy relative to the elements, uncorrected: -0.2317 eV/atom

Lattice parameters (Å, degrees): 3.0214 4.0718 4.0718 120.00 90.00 90.00
Closest atoms and distances in Å follow each position.
Positions (direct):
Zr 0.5000 0.3333 0.6667  6 Co 2.79, 6 Cl 2.79, 2 Zr 3.02
Cl 0.0000 0.0000 0.0000  3 Co 2.35
Co 0.0000 0.6667 0.3333  3 Cl 2.35

---

[12]
Here is crystalline ZrCo2Cl at its relaxed geometry from the Alexandria database. Energies are from GGA-PBEsol.

Summary:
- Energy: -26.84 eV/f.u.
- Total magnetic moment: 0.49 μB/cell
- DOS(E_F): 3.56 states/eV/cell
- Energy relative to the elements, uncorrected: -0.0661 eV/atom
- ΔE to the lowest computed polymorph: 0.0 meV per atom

Lattice parameters (Å, degrees): 3.1182 3.7106 4.8723 90.00 90.00 90.00
Closest atoms and distances in Å follow each position.
Positions (direct):
Co 0.0000 0.0000 0.2557  2 Cl 2.23, 2 Co 2.38-2.49
Co 0.0000 0.0000 0.7443  2 Cl 2.23, 2 Co 2.38-2.49
Cl 0.0000 0.5000 0.0000  4 Co 2.23
Zr 0.5000 0.5000 0.5000  8 Co 2.70, 4 Cl 2.89

---

[13]
Here is crystalline ZrCoCl2 at its relaxed geometry from the Alexandria database. Energies are from GGA-PBEsol.

Summary:
- Energy: -21.56 eV/f.u.
- Total magnetic moment: 0.71 μB/cell
- DOS(E_F): 3.06 states/eV/cell
- Energy relative to the elements, uncorrected: -0.1781 eV/atom
- ΔE to the lowest computed polymorph: 345.9 meV per atom

Lattice parameters (Å, degrees): 3.5692 3.5692 5.4731 109.03 109.03 90.00
Closest atoms and distances in Å follow each position.
Positions (direct):
Cl 0.7500 0.2500 0.5000  4 Zr 2.52
Cl 0.0000 0.0000 0.0000  4 Co 2.52
Zr 0.2500 0.7500 0.5000  4 Cl 2.52
Co 0.5000 0.5000 0.0000  4 Cl 2.52

---

[14]
Here is crystalline Zr2CoCl at its relaxed geometry from the Alexandria database. Energies are from GGA-PBEsol.

Summary:
- Energy: -29.76 eV/f.u.
- Total magnetic moment: 0.00 μB/cell
- DOS(E_F): 2.91 states/eV/cell
- Energy relative to the elements, uncorrected: -0.4586 eV/atom

Lattice parameters (Å, degrees): 3.6090 3.6090 5.2072 90.00 90.00 90.00
Closest atoms and distances in Å follow each position.
Positions (direct):
Co 0.5000 0.5000 0.8750  6 Zr 2.55-2.60
Zr 0.0000 0.0000 0.8750  4 Co 2.55, 2 Cl 2.60
Zr 0.5000 0.5000 0.3750  4 Cl 2.55, 2 Co 2.60
Cl 0.0000 0.0000 0.3751  6 Zr 2.55-2.60

---

[15]
Here is crystalline ZrCoCl2 at its relaxed geometry from the Alexandria database. Energies are from GGA-PBEsol.

Summary:
- Energy: -22.09 eV/f.u.
- Total magnetic moment: 2.10 μB/cell
- DOS(E_F): 5.48 states/eV/cell
- Energy relative to the elements, uncorrected: -0.3127 eV/atom
- ΔE to the lowest computed polymorph: 211.3 meV per atom

Lattice parameters (Å, degrees): 3.1076 3.1076 9.5184 80.60 80.60 60.00
Closest atoms and distances in Å follow each position.
Positions (direct):
Cl 0.2324 0.2324 0.3027  3 Zr 2.57
Cl 0.7676 0.7676 0.6973  3 Zr 2.57
Co 0.0000 0.0000 0.0000  6 Co 3.11, 6 Cl 3.35
Zr 0.5000 0.5000 0.5000  6 Cl 2.57

---

[16]
Here is crystalline ZrCo2Cl2 at its relaxed geometry from the Alexandria database. Energies are from GGA-PBEsol.

Summary:
- Energy: -27.48 eV/f.u.
- Total magnetic moment: 1.08 μB/cell
- DOS(E_F): 3.70 states/eV/cell
- Energy relative to the elements, uncorrected: 0.2200 eV/atom

Lattice parameters (Å, degrees): 3.5460 3.5460 5.9645 107.29 107.29 90.00
Closest atoms and distances in Å follow each position.
Positions (direct):
Co 0.2500 0.7500 0.5000  4 Cl 2.23
Co 0.7500 0.2500 0.5000  4 Cl 2.23
Cl 0.3751 0.3751 0.7502  4 Co 2.23
Cl 0.6249 0.6249 0.2498  4 Co 2.23
Zr 0.0000 0.0000 0.0000  8 Cl 2.85

---

[17]
Here is crystalline Zr6CoCl15 at its relaxed geometry from the Alexandria database. Energies are from GGA-PBEsol.

Summary:
- Energy: -130.09 eV/f.u.
- Total magnetic moment: 0.00 μB/cell
- Energy relative to the elements, uncorrected: -1.7133 eV/atom

Lattice parameters (Å, degrees): 8.7826 8.7826 8.7826 109.47 109.47 109.47
Closest atoms and distances in Å follow each position.
Positions (direct):
Zr 0.2405 0.2405 0.0000  1 Co 2.44, 5 Cl 2.52-2.63
Zr 0.2405 0.0000 0.2405  1 Co 2.44, 5 Cl 2.52-2.63
Zr 0.0000 0.2405 0.2405  1 Co 2.44, 5 Cl 2.52-2.63
Zr 0.7595 0.7595 0.0000  1 Co 2.44, 5 Cl 2.52-2.63
Zr 0.7595 0.0000 0.7595  1 Co 2.44, 5 Cl 2.52-2.63
Zr 0.0000 0.7595 0.7595  1 Co 2.44, 5 Cl 2.52-2.63
Co 0.0000 0.0000 0.0000  6 Zr 2.44
Cl 0.2486 0.4972 0.2486  2 Zr 2.52
Cl 0.7514 0.5028 0.7514  2 Zr 2.52
Cl 0.5000 0.0000 0.5000  2 Zr 2.63
Cl 0.5028 0.7514 0.7514  2 Zr 2.52
Cl 0.0000 0.5000 0.5000  2 Zr 2.63
Cl 0.0000 0.2486 0.7514  2 Zr 2.52
Cl 0.2486 0.2486 0.4972  2 Zr 2.52
Cl 0.0000 0.7514 0.2486  2 Zr 2.52
Cl 0.7514 0.0000 0.2486  2 Zr 2.52
Cl 0.4972 0.2486 0.2486  2 Zr 2.52
Cl 0.2486 0.0000 0.7514  2 Zr 2.52
Cl 0.2486 0.7514 0.0000  2 Zr 2.52
Cl 0.7514 0.2486 0.0000  2 Zr 2.52
Cl 0.5000 0.5000 0.0000  2 Zr 2.63
Cl 0.7514 0.7514 0.5028  2 Zr 2.52

---

[18]
Here is crystalline ZrCoCl2 at its relaxed geometry from the Alexandria database. Energies are from GGA-PBEsol.

Summary:
- Energy: -22.94 eV/f.u.
- Total magnetic moment: 1.33 μB/cell
- DOS(E_F): 3.87 states/eV/cell
- Energy relative to the elements, uncorrected: -0.5239 eV/atom
- ΔE to the lowest computed polymorph: 0.1 meV per atom

Lattice parameters (Å, degrees): 3.1641 3.1641 8.1579 78.82 78.82 60.00
Closest atoms and distances in Å follow each position.
Positions (direct):
Co 0.0000 0.0000 0.0000  2 Cl 2.14
Cl 0.9105 0.9105 0.2686  1 Co 2.14
Cl 0.0895 0.0895 0.7314  1 Co 2.14
Zr 0.5000 0.5000 0.5000  6 Cl 2.59

---

[19]
Here is crystalline ZrCo2Cl at its relaxed geometry from the Alexandria database. Energies are from GGA-PBEsol.

Summary:
- Energy: -25.75 eV/f.u.
- Total magnetic moment: 2.51 μB/cell
- DOS(E_F): 5.22 states/eV/cell
- Energy relative to the elements, uncorrected: 0.2059 eV/atom
- ΔE to the lowest computed polymorph: 272.0 meV per atom

Lattice parameters (Å, degrees): 3.4715 3.4715 4.8150 90.00 90.00 90.00
Closest atoms and distances in Å follow each position.
Positions (direct):
Co 0.5000 0.0000 0.0000  4 Co 2.45
Co 0.0000 0.5000 0.0000  4 Co 2.45
Cl 0.0000 0.0000 0.5000  4 Zr 2.45
Zr 0.5000 0.5000 0.5000  4 Cl 2.45

---

[20]
Here is crystalline ZrCoCl2 at its relaxed geometry from the Alexandria database. Energies are from GGA-PBEsol.

Summary:
- Energy: -22.94 eV/f.u.
- Total magnetic moment: 0.00 μB/cell
- DOS(E_F): 2.25 states/eV/cell
- Energy relative to the elements, uncorrected: -0.5240 eV/atom
- ΔE to the lowest computed polymorph: 0.0 meV per atom

Lattice parameters (Å, degrees): 3.2608 3.7206 6.4562 106.74 104.62 90.00
Closest atoms and distances in Å follow each position.
Positions (direct):
Cl 0.7789 0.2789 0.5580  4 Zr 2.78
Cl 0.0192 0.0191 0.0382  4 Co 2.48, 2 Zr 2.61
Co 0.5293 0.5294 0.0587  2 Zr 2.36, 4 Cl 2.48
Zr 0.1725 0.6725 0.3451  2 Co 2.36, 2 Cl 2.61